Entry 1:
The following is a DFT calculation (PBE-GGA) of an optimized crystal structure of LiBPd2Au.

Unit cell a=4.1659 b=4.1659 c=4.3528 alpha=90.00 beta=90.00 gamma=90.00
Last column: nearest neighbours and their distance in Å.
Sites, in units of the cell vectors:
Li (0.5000, 0.5000, 0.5000)  4 Au 2.95, 8 Pd 3.01
Pd (0.0000, 0.5000, 0.0000)  2 B 2.08
Pd (0.5000, 0.0000, 0.0000)  2 B 2.08
B (0.0000, 0.0000, 0.0000)  4 Pd 2.08, 2 Au 2.18
Au (0.0000, 0.0000, 0.5000)  2 B 2.18

Calculated values
Final energy   -4.689 eV per atom
Symmetry   P4/mmm, No. 123



Entry 2:
The following is a DFT calculation (PBE-GGA) of an optimized crystal structure of Li2B2Pt5Au.

Unit cell a=3.0355 b=9.6912 c=9.6912 alpha=90.00 beta=90.00 gamma=90.00
Last column: nearest neighbours and their distance in Å.
Sites, in units of the cell vectors:
Li (0.0000, 0.3229, 0.8229)  3 B 2.68-2.99, 10 Pt 2.86-2.99
Li (0.0000, 0.8229, 0.6771)  3 B 2.68-2.99, 10 Pt 2.86-2.99
Li (0.0000, 0.6771, 0.1771)  3 B 2.68-2.99, 10 Pt 2.86-2.99
Li (0.0000, 0.1771, 0.3229)  3 B 2.68-2.99, 10 Pt 2.86-2.99
Pt (0.5000, 0.4302, 0.2743)  2 B 2.15
Pt (0.5000, 0.7257, 0.4302)  2 B 2.15
Pt (0.5000, 0.2257, 0.0698)  2 B 2.15
Pt (0.5000, 0.2743, 0.5698)  2 B 2.15
Pt (0.5000, 0.5698, 0.7257)  2 B 2.15
Pt (0.5000, 0.7743, 0.9302)  2 B 2.15
Pt (0.5000, 0.5000, 0.0000)  4 B 2.31
Pt (0.5000, 0.0698, 0.7743)  2 B 2.15
Pt (0.5000, 0.0000, 0.5000)  4 B 2.31
Pt (0.5000, 0.9302, 0.2257)  2 B 2.15
Au (0.0000, 0.0000, 0.0000)  8 Pt 2.75, 2 Au 3.04
Au (0.0000, 0.5000, 0.5000)  8 Pt 2.75, 2 Au 3.04
B (0.0000, 0.3727, 0.1273)  6 Pt 2.15-2.31
B (0.0000, 0.1273, 0.6273)  6 Pt 2.15-2.31
B (0.0000, 0.6273, 0.8727)  6 Pt 2.15-2.31
B (0.0000, 0.8727, 0.3727)  6 Pt 2.15-2.31

Calculated values
Final energy   -5.477 eV per atom
Symmetry   P4/mbm, No. 127



Entry 3:
The following is a DFT calculation (PBE-GGA) of an optimized crystal structure of LiBPt2Au.

Unit cell a=4.0853 b=4.0853 c=4.4159 alpha=90.00 beta=90.00 gamma=90.00
Last column: nearest neighbours and their distance in Å.
Sites, in units of the cell vectors:
Pt (0.0000, 0.5000, 0.0000)  2 B 2.04
Pt (0.5000, 0.0000, 0.0000)  2 B 2.04
Li (0.0000, 0.0000, 0.5000)  2 B 2.21
B (0.0000, 0.0000, 0.0000)  4 Pt 2.04, 2 Li 2.21
Au (0.5000, 0.5000, 0.5000)  4 Li 2.89, 8 Pt 3.01

Calculated values
Final energy   -5.046 eV per atom
Symmetry   P4/mmm, No. 123



Entry 4:
The following is a DFT calculation (PBE-GGA) of an optimized crystal structure of LiBPt2Au.

Unit cell a=4.1389 b=4.1389 c=4.4669 alpha=90.00 beta=90.00 gamma=90.00
Last column: nearest neighbours and their distance in Å.
Sites, in units of the cell vectors:
Au (0.0000, 0.0000, 0.5000)  2 B 2.23
B (0.0000, 0.0000, 0.0000)  4 Pt 2.07, 2 Au 2.23
Pt (0.5000, 0.0000, 0.0000)  2 B 2.07
Pt (0.0000, 0.5000, 0.0000)  2 B 2.07
Li (0.5000, 0.5000, 0.5000)  4 Au 2.93, 8 Pt 3.04

Calculated values
Final energy   -5.066 eV per atom
Symmetry   P4/mmm, No. 123



Entry 5:
The following is a DFT calculation (PBE-GGA) of an optimized crystal structure of LiBPtAu2.

Unit cell a=4.4610 b=3.8221 c=4.4610 alpha=90.00 beta=90.00 gamma=90.00
Last column: nearest neighbours and their distance in Å.
Sites, in units of the cell vectors:
Li (0.0000, 0.0000, 0.0000)  2 B 1.91
Pt (0.5000, 0.5000, 0.5000)  8 Au 2.94, 4 B 3.15
B (0.0000, 0.5000, 0.0000)  2 Li 1.91
Au (0.5000, 0.0000, 0.0000)  2 Li 2.23
Au (0.0000, 0.0000, 0.5000)  2 Li 2.23

Calculated values
Final energy   -3.224 eV per atom
Symmetry   P4/mmm, No. 123



Entry 6:
The following is a DFT calculation (PBE-GGA) of an optimized crystal structure of LiBRh2Au.

Unit cell a=4.1043 b=4.1043 c=4.2729 alpha=90.00 beta=90.00 gamma=90.00
Last column: nearest neighbours and their distance in Å.
Sites, in units of the cell vectors:
Rh (0.0000, 0.5000, 0.0000)  2 B 2.05
Rh (0.5000, 0.0000, 0.0000)  2 B 2.05
Li (0.5000, 0.5000, 0.5000)  4 Au 2.90, 8 Rh 2.96
B (0.0000, 0.0000, 0.0000)  4 Rh 2.05, 2 Au 2.14
Au (0.0000, 0.0000, 0.5000)  2 B 2.14

Calculated values
Final energy   -5.437 eV per atom
Symmetry   P4/mmm, No. 123



What did the first record say?
The following is a DFT calculation (PBE-GGA) of an optimized crystal structure of LiBPd2Au.

Unit cell a=4.1659 b=4.1659 c=4.3528 alpha=90.00 beta=90.00 gamma=90.00
Last column: nearest neighbours and their distance in Å.
Sites, in units of the cell vectors:
Li (0.5000, 0.5000, 0.5000)  4 Au 2.95, 8 Pd 3.01
Pd (0.0000, 0.5000, 0.0000)  2 B 2.08
Pd (0.5000, 0.0000, 0.0000)  2 B 2.08
B (0.0000, 0.0000, 0.0000)  4 Pd 2.08, 2 Au 2.18
Au (0.0000, 0.0000, 0.5000)  2 B 2.18

Calculated values
Final energy   -4.689 eV per atom
Symmetry   P4/mmm, No. 123



Number 6 is which compound?
LiBRh2Au



Among the records above, which one has the highest final energy?
LiBPtAu2



What is the final energy in the first record?
-4.689 eV per atom